A relaxed structure of AlCoAs3, computed with PBE.

Polymorph energy (0 for the lowest one) = 0.000 eV/f.u.
Density of states at the Fermi level = 4.96 states/eV/f.u.
Uncorrected energy = -22.5 eV/cell
Space-group type = Pm-3m (221)
Energy relative to the elements = 0.46 eV/atom

a = 4.6105 Å, b = 4.6105 Å, c = 4.6105 Å
α = 90.00°, β = 90.00°, γ = 90.00°
Positions (direct):
As 0.0000 0.5000 0.0000
As 0.0000 0.0000 0.5000
As 0.5000 0.0000 0.0000
Co 0.0000 0.0000 0.0000
Al 0.5000 0.5000 0.5000